(1)
Here is a relaxed Nd2MgRu crystal from Alexandria via LeMat-Bulk. Energies are from PBE.

Properties
Polymorph energy (0 for the lowest one) ... 0.143 eV per atom

Unit cell a=4.0330 b=4.0330 c=25.7860 alpha=90.00 beta=90.00 gamma=120.00
Closest atoms and distances in Å follow each position.
Space group R3m (No. 160, hexagonal axes)
One atom of each set of equivalent atoms:
1 Nd 0.0000 0.0000 0.0000 x3  3 Ru 2.82
2 Nd 0.0000 0.0000 0.2112 x3  3 Ru 2.80
3 Mg 0.0000 0.0000 0.4396 x3  6 Nd 3.57-3.60
4 Ru 0.0000 0.0000 0.6051 x3  6 Nd 2.80-2.82



(2)
Here is a relaxed Nd2MgRu crystal from Alexandria via LeMat-Bulk. Energies are from PBE.

Properties
Polymorph energy (0 for the lowest one) ... 0.139 eV per atom

Unit cell a=3.9317 b=3.9766 c=9.0391 alpha=102.21 beta=90.03 gamma=119.58
Closest atoms and distances in Å follow each position.
Space group P1 (No. 1)
One atom of each set of equivalent atoms:
1 Nd 0.0000 0.0000 0.0000 x1  3 Ru 2.81
2 Nd 0.4573 0.9151 0.3731 x1  3 Ru 2.81
3 Mg 0.2261 0.4548 0.6864 x1  6 Nd 3.56-3.59, 6 Mg 3.93-3.98
4 Ru 0.7290 0.4579 0.1866 x1  6 Nd 2.81



(3)
Here is a relaxed Nd2MgRu crystal from Alexandria via LeMat-Bulk. Energies are from PBE.

Properties
Polymorph energy (0 for the lowest one) ... 0.113 eV per atom

Unit cell a=5.0998 b=5.0998 c=3.7795 alpha=90.00 beta=90.00 gamma=90.00
Closest atoms and distances in Å follow each position.
Space group P4/mmm (No. 123)
One atom of each set of equivalent atoms:
1 Nd 0.0000 0.5000 0.0000 x2  4 Ru 3.17, 4 Mg 3.17
2 Mg 0.0000 0.0000 0.5000 x1  8 Nd 3.17
3 Ru 0.5000 0.5000 0.5000 x1  8 Nd 3.17



(4)
Here is a relaxed Nd8Mg2Ru crystal from Alexandria via LeMat-Bulk. Energies are from PBE.

Properties
Total DFT energy (no corrections) ... -4.64 eV per atom

Unit cell a=17.7791 b=5.7401 c=7.1756 alpha=90.00 beta=110.43 gamma=90.00
Closest atoms and distances in Å follow each position.
Space group C2/m (No. 12)
One atom of each set of equivalent atoms:
1 Nd 0.0141 0.0000 0.2771 x4  1 Mg 3.33, 2 Ru 3.34, 7 Nd 3.41-3.72
2 Nd 0.1012 0.5000 0.8998 x4  1 Ru 2.80
3 Nd 0.1426 0.5000 0.4178 x4  1 Ru 2.80
4 Nd 0.1928 0.0000 0.7411 x4  3 Mg 3.27-3.51, 4 Nd 3.49-3.64
5 Mg 0.1866 0.0000 0.1918 x4  9 Nd 3.27-3.57
6 Ru 0.0000 0.5000 0.5000 x2  4 Nd 2.80



(5)
Here is a relaxed Nd2MgRu crystal from Alexandria via LeMat-Bulk. Energies are from PBE.

Properties
Polymorph energy (0 for the lowest one) ... 0.000 eV per atom

Unit cell a=3.4816 b=3.4816 c=8.8019 alpha=90.00 beta=90.00 gamma=90.00
Closest atoms and distances in Å follow each position.
Space group P4/mmm (No. 123)
One atom of each set of equivalent atoms:
1 Nd 0.0000 0.0000 0.1971 x2  4 Ru 3.01
2 Mg 0.5000 0.5000 0.5000 x1  4 Mg 3.48, 8 Nd 3.63
3 Ru 0.5000 0.5000 0.0000 x1  8 Nd 3.01



(6)
Here is a relaxed NdMg3Ru crystal from Alexandria via LeMat-Bulk. Energies are from PBE.

Properties
Polymorph energy (0 for the lowest one) ... 0.000 eV per atom

Unit cell a=5.4502 b=5.9883 c=7.3894 alpha=90.00 beta=107.16 gamma=90.00
Closest atoms and distances in Å follow each position.
Space group P2_1/m (No. 11)
One atom of each set of equivalent atoms:
1 Nd 0.1016 0.2500 0.4090 x2  2 Ru 2.80-2.92
2 Mg 0.0229 0.2500 0.8812 x2  1 Ru 2.74
3 Mg 0.4939 0.0007 0.2060 x4  2 Ru 2.75-2.77, 3 Mg 2.99-3.06
4 Ru 0.3380 0.7500 0.4679 x2  5 Mg 2.74-2.77, 2 Nd 2.80-2.92



(7)
Here is a relaxed NdSmMgRu crystal from Alexandria via LeMat-Bulk. Energies are from PBE.

Properties
Polymorph energy (0 for the lowest one) ... 0.079 eV per atom

Unit cell a=7.2905 b=7.2905 c=7.2905 alpha=90.00 beta=90.00 gamma=90.00
Closest atoms and distances in Å follow each position.
Space group F-43m (No. 216)
One atom of each set of equivalent atoms:
1 Nd 0.0000 0.0000 0.0000 x4  4 Ru 3.16, 4 Mg 3.16
2 Sm 0.0000 0.0000 0.5000 x4  4 Mg 3.16, 4 Ru 3.16
3 Mg 0.2500 0.2500 0.2500 x4  4 Nd 3.16, 4 Sm 3.16
4 Ru 0.2500 0.2500 0.7500 x4  4 Sm 3.16, 4 Nd 3.16



(8)
Here is a relaxed NdSmMgRu crystal from Alexandria via LeMat-Bulk. Energies are from PBE.

Properties
Polymorph energy (0 for the lowest one) ... 0.000 eV per atom

Unit cell a=3.4667 b=3.4667 c=8.7304 alpha=90.00 beta=90.00 gamma=90.00
Closest atoms and distances in Å follow each position.
Space group P4mm (No. 99)
One atom of each set of equivalent atoms:
1 Nd 0.0000 0.0000 0.0000 x1  4 Ru 3.01
2 Sm 0.0000 0.0000 0.6057 x1  4 Ru 2.98
3 Mg 0.5000 0.5000 0.3051 x1  4 Mg 3.47, 4 Sm 3.59, 4 Nd 3.62
4 Ru 0.5000 0.5000 0.7992 x1  4 Sm 2.98, 4 Nd 3.01



(9)
Here is a relaxed TbNdMgRu crystal from Alexandria via LeMat-Bulk. Energies are from PBE.

Properties
Polymorph energy (0 for the lowest one) ... 0.085 eV per atom

Unit cell a=7.2322 b=7.2322 c=7.2322 alpha=90.00 beta=90.00 gamma=90.00
Closest atoms and distances in Å follow each position.
Space group F-43m (No. 216)
One atom of each set of equivalent atoms:
1 Tb 0.0000 0.0000 0.0000 x4  4 Mg 3.13, 4 Ru 3.13
2 Nd 0.0000 0.0000 0.5000 x4  4 Ru 3.13, 4 Mg 3.13
3 Mg 0.2500 0.2500 0.7500 x4  4 Tb 3.13, 4 Nd 3.13
4 Ru 0.2500 0.2500 0.2500 x4  4 Tb 3.13, 4 Nd 3.13



(10)
Here is a relaxed TbNdMgRu crystal from Alexandria via LeMat-Bulk. Energies are from PBE.

Properties
Polymorph energy (0 for the lowest one) ... 0.000 eV per atom

Unit cell a=3.4485 b=3.4485 c=8.6246 alpha=90.00 beta=90.00 gamma=90.00
Closest atoms and distances in Å follow each position.
Space group P4mm (No. 99)
One atom of each set of equivalent atoms:
1 Tb 0.0000 0.0000 0.0000 x1  4 Ru 2.93
2 Nd 0.0000 0.0000 0.3948 x1  4 Ru 3.02
3 Mg 0.5000 0.5000 0.7046 x1  4 Mg 3.45, 4 Tb 3.53, 4 Nd 3.62
4 Ru 0.5000 0.5000 0.1886 x1  4 Tb 2.93, 4 Nd 3.02



(11)
Here is a relaxed NdYMgRu crystal from Alexandria via LeMat-Bulk. Energies are from PBE.

Properties
Polymorph energy (0 for the lowest one) ... 0.076 eV per atom

Unit cell a=7.2293 b=7.2293 c=7.2293 alpha=90.00 beta=90.00 gamma=90.00
Closest atoms and distances in Å follow each position.
Space group F-43m (No. 216)
One atom of each set of equivalent atoms:
1 Nd 0.0000 0.0000 0.0000 x4  4 Mg 3.13, 4 Ru 3.13
2 Y 0.0000 0.0000 0.5000 x4  4 Ru 3.13, 4 Mg 3.13
3 Mg 0.2500 0.2500 0.7500 x4  4 Nd 3.13, 4 Y 3.13
4 Ru 0.2500 0.2500 0.2500 x4  4 Y 3.13, 4 Nd 3.13



(12)
Here is a relaxed NdYMgRu crystal from Alexandria via LeMat-Bulk. Energies are from PBE.

Properties
Polymorph energy (0 for the lowest one) ... 0.000 eV per atom

Unit cell a=3.5022 b=3.5022 c=8.2065 alpha=90.00 beta=90.00 gamma=90.00
Closest atoms and distances in Å follow each position.
Space group P4mm (No. 99)
One atom of each set of equivalent atoms:
1 Nd 0.0000 0.0000 0.0000 x1  4 Ru 3.03, 1 Y 3.37
2 Y 0.0000 0.0000 0.5888 x1  4 Ru 2.96
3 Mg 0.5000 0.5000 0.3041 x1  4 Y 3.41, 4 Mg 3.50, 4 Nd 3.52
4 Ru 0.5000 0.5000 0.7865 x1  4 Y 2.96, 4 Nd 3.03



Number 1: density of states at the Fermi level 0.735 states/eV per atom. Number 2: density of states at the Fermi level 0.665 states/eV per atom. Number 3: density of states at the Fermi level 0.961 states/eV per atom. Number 4: density of states at the Fermi level 1.164 states/eV per atom. Number 5: density of states at the Fermi level 0.906 states/eV per atom. Number 6: density of states at the Fermi level 0.725 states/eV per atom. Number 7: density of states at the Fermi level 1.058 states/eV per atom. Number 8: density of states at the Fermi level 0.900 states/eV per atom. Number 9: density of states at the Fermi level 0.969 states/eV per atom. Number 10: density of states at the Fermi level 0.892 states/eV per atom. Number 11: density of states at the Fermi level 0.982 states/eV per atom. Number 12: density of states at the Fermi level 0.970 states/eV per atom.